1.
Material: KMn2O4
Method: DFT, GGA-PBEsol
State: relaxed Values from VASP.

Structure (Quantum ESPRESSO input):
```
&SYSTEM
  ibrav = 0, nat = 7, ntyp = 3
/
ATOMIC_SPECIES
K 39.10 K.upf
Mn 54.94 Mn.upf
O 16.00 O.upf
ATOMIC_POSITIONS crystal
K 0.000 0.000 0.000
Mn 0.000 0.500 0.500
Mn 0.500 0.000 0.500
O 0.220 0.000 0.662
O 0.279 0.500 0.336
O 0.721 0.500 0.664
O 0.780 0.000 0.338
CELL_PARAMETERS angstrom
4.840 0.000 0.000
0.000 2.880 0.000
-1.690 0.000 6.223
```

uncorrected energy = -7.6787 eV per atom
uncorrected formation energy = -1.728 eV/atom

=====

2.
Material: FeSiBiP2
Method: DFT, GGA-PBEsol
State: relaxed Values from VASP.

Structure (Quantum ESPRESSO input):
```
&SYSTEM
  ibrav = 0, nat = 5, ntyp = 4
/
ATOMIC_SPECIES
Fe 55.84 Fe.upf
Si 28.09 Si.upf
Bi 208.98 Bi.upf
P 30.97 P.upf
ATOMIC_POSITIONS crystal
Fe 0.000 0.000 0.000
Si 0.500 0.500 0.500
Bi 0.500 0.500 0.000
P 0.000 0.500 0.500
P 0.500 0.000 0.500
CELL_PARAMETERS angstrom
4.406 0.000 0.000
0.000 4.406 0.000
0.000 0.000 5.394
```

uncorrected energy = -5.0236 eV per atom
uncorrected formation energy = 1.092 eV/atom